First-principles (PBE) data for an optimized crystal structure of Tm2MnCo3, as listed in Alexandria.

- energy relative to the elements (meV/atom) = 224
- DOS at the Fermi energy (states/eV/f.u.) = 8.43

Lattice parameters (Å, degrees): 5.803 5.803 5.803 136.62 128.35 69.68
Positions (direct):
Tm: 0.185 0.185 0.000
Tm: 0.815 0.815 0.000
Mn: 0.500 0.500 0.000
Co: 0.000 0.500 0.500
Co: 0.380 0.880 0.500
Co: 0.620 0.120 0.500